# Li2DyUS4, optimized geometry, DFT PBE-GGA
data_Li2DyUS4
_space_group_name_H-M_alt 'P 1 2/m 1'
_space_group_IT_number 10
_cell_length_a 6.609
_cell_length_b 3.887
_cell_length_c 6.756
_cell_angle_alpha 90.00
_cell_angle_beta 109.88
_cell_angle_gamma 90.00
loop_
_space_group_symop_operation_xyz
'x,y,z'
'-x,-y,-z'
'-x,y,-z'
'x,-y,z'
loop_
_atom_site_label
_atom_site_type_symbol
_atom_site_fract_x
_atom_site_fract_y
_atom_site_fract_z
Li1 Li 0.000 0.000 0.000
Li2 Li 0.000 0.500 0.500
Dy1 Dy 0.500 0.000 0.500
U1 U 0.500 0.500 0.000
S1 S 0.245 0.000 0.748
S2 S 0.247 0.500 0.248
# final energy	-6.112	eV per atom
# total magnetization	3.0	μB/cell
# V	20.41	A^3/atom
# formation energy from raw total energies	-1.583	eV/atom

---

# LiDyUS3, optimized geometry, DFT PBE-GGA
data_LiDyUS3
_space_group_name_H-M_alt 'P 1 21/m 1'
_space_group_IT_number 11
_cell_length_a 8.091
_cell_length_b 3.745
_cell_length_c 8.361
_cell_angle_alpha 90.00
_cell_angle_beta 103.03
_cell_angle_gamma 90.00
loop_
_space_group_symop_operation_xyz
'x,y,z'
'-x,-y,-z'
'-x,y+1/2,-z'
'x,-y+1/2,z'
loop_
_atom_site_label
_atom_site_type_symbol
_atom_site_fract_x
_atom_site_fract_y
_atom_site_fract_z
Li1 Li 0.088 0.250 0.079
Dy1 Dy 0.339 0.750 0.334
U1 U 0.174 0.250 0.706
S1 S 0.097 0.250 0.362
S2 S 0.216 0.750 0.986
S3 S 0.422 0.750 0.674
# final energy	-6.550	eV per atom
# total magnetization	6.1	μB/cell
# V	20.57	A^3/atom
# formation energy from raw total energies	-1.519	eV/atom

---

# Li3DyU3S8, optimized geometry, DFT PBE-GGA
data_Li3DyU3S8
_space_group_name_H-M_alt 'R -3 m'
_space_group_IT_number 166
_space_group_name_Hall '-R 3 2"'
_cell_length_a 7.8252
_cell_length_b 7.8252
_cell_length_c 18.5867
_cell_angle_alpha 90.00
_cell_angle_beta 90.00
_cell_angle_gamma 120.00
loop_
_atom_site_label
_atom_site_type_symbol
_atom_site_fract_x
_atom_site_fract_y
_atom_site_fract_z
Li1 Li 0.0000 0.5000 0.0000
Dy1 Dy 0.0000 0.0000 0.5000
U1 U 0.0000 0.5000 0.5000
S1 S 0.0000 0.0000 0.2519
S2 S 0.0009 0.5005 0.2491
# final energy	-6.627	eV per atom
# total magnetization	24.0	μB/cell
# V	21.91	A^3/atom
# formation energy from raw total energies	-1.479	eV/atom

---

# Li4Dy3US8, optimized geometry, DFT PBE-GGA
data_Li4Dy3US8
_space_group_name_H-M_alt 'R -3 m'
_space_group_IT_number 166
_space_group_name_Hall '-R 3 2"'
_cell_length_a 7.8196
_cell_length_b 7.8196
_cell_length_c 18.5630
_cell_angle_alpha 90.00
_cell_angle_beta 90.00
_cell_angle_gamma 120.00
loop_
_atom_site_label
_atom_site_type_symbol
_atom_site_fract_x
_atom_site_fract_y
_atom_site_fract_z
Li1 Li 0.0000 0.0000 0.0000
Li2 Li 0.0000 0.5000 0.0000
Dy1 Dy 0.0000 0.5000 0.5000
U1 U 0.0000 0.0000 0.5000
S1 S 0.0000 0.0000 0.2504
S2 S 0.0000 0.5000 0.2508
# final energy	-5.820	eV per atom
# total magnetization	8.9	μB/cell
# V	20.48	A^3/atom
# formation energy from raw total energies	-1.709	eV/atom

---

# Li3Dy2US6, optimized geometry, DFT PBE-GGA
data_Li3Dy2US6
_space_group_name_H-M_alt 'C 1 2/m 1'
_space_group_IT_number 12
_cell_length_a 6.776
_cell_length_b 11.730
_cell_length_c 6.584
_cell_angle_alpha 90.00
_cell_angle_beta 110.06
_cell_angle_gamma 90.00
loop_
_space_group_symop_operation_xyz
'x,y,z'
'-x,-y,-z'
'-x,y,-z'
'x,-y,z'
'x+1/2,y+1/2,z'
'-x+1/2,-y+1/2,-z'
'-x+1/2,y+1/2,-z'
'x+1/2,-y+1/2,z'
loop_
_atom_site_label
_atom_site_type_symbol
_atom_site_fract_x
_atom_site_fract_y
_atom_site_fract_z
Li1 Li 0.000 0.000 0.000
Li2 Li 0.000 0.332 0.000
Dy1 Dy 0.000 0.167 0.500
U1 U 0.000 0.500 0.500
S1 S 0.249 0.167 0.247
S2 S 0.249 0.500 0.247
# final energy	-5.907	eV per atom
# total magnetization	5.9	μB/cell
# V	20.48	A^3/atom
# formation energy from raw total energies	-1.657	eV/atom

---

# LiDyU2S6, optimized geometry, DFT PBE-GGA
data_LiDyU2S6
_space_group_name_H-M_alt 'P 4 m m'
_space_group_IT_number 99
_cell_length_a 6.176
_cell_length_b 6.176
_cell_length_c 6.616
_cell_angle_alpha 90.00
_cell_angle_beta 90.00
_cell_angle_gamma 90.00
loop_
_space_group_symop_operation_xyz
'x,y,z'
'-y,x,z'
'-x,-y,z'
'y,-x,z'
'-x,y,z'
'y,x,z'
'x,-y,z'
'-y,-x,z'
loop_
_atom_site_label
_atom_site_type_symbol
_atom_site_fract_x
_atom_site_fract_y
_atom_site_fract_z
Li1 Li 0.000 0.000 0.000
Dy1 Dy 0.500 0.500 0.027
U1 U 0.000 0.500 0.449
S1 S 0.000 0.000 0.635
S2 S 0.240 0.240 0.214
S3 S 0.500 0.500 0.626
# final energy	-6.538	eV per atom
# total magnetization	4.0	μB/cell
# V	25.23	A^3/atom
# formation energy from raw total energies	-1.153	eV/atom

---

# LiDy2YS5, optimized geometry, DFT PBE-GGA
data_LiDy2YS5
_space_group_name_H-M_alt 'C m c 21'
_space_group_IT_number 36
_cell_length_a 3.891
_cell_length_b 16.189
_cell_length_c 11.784
_cell_angle_alpha 90.00
_cell_angle_beta 90.00
_cell_angle_gamma 90.00
loop_
_space_group_symop_operation_xyz
'x,y,z'
'-x,-y,z+1/2'
'-x,y,z'
'x,-y,z+1/2'
'x+1/2,y+1/2,z'
'-x+1/2,-y+1/2,z+1/2'
'-x+1/2,y+1/2,z'
'x+1/2,-y+1/2,z+1/2'
loop_
_atom_site_label
_atom_site_type_symbol
_atom_site_fract_x
_atom_site_fract_y
_atom_site_fract_z
Li1 Li 0.000 0.013 0.000
Dy1 Dy 0.000 0.377 0.811
Dy2 Dy 0.000 0.392 0.202
Y1 Y 0.000 0.303 0.519
S1 S 0.000 0.000 0.303
S2 S 0.000 0.136 0.519
S3 S 0.000 0.192 0.857
S4 S 0.000 0.213 0.182
S5 S 0.000 0.455 0.593
# final energy	-6.121	eV per atom
# total magnetization	0.0	μB/cell
# V	20.62	A^3/atom
# formation energy from raw total energies	-1.874	eV/atom

---

# LiDy4Y3S8, optimized geometry, DFT PBE-GGA
data_LiDy4Y3S8
_space_group_name_H-M_alt 'R -3 m'
_space_group_IT_number 166
_space_group_name_Hall '-R 3 2"'
_cell_length_a 7.7943
_cell_length_b 7.7943
_cell_length_c 19.0913
_cell_angle_alpha 90.00
_cell_angle_beta 90.00
_cell_angle_gamma 120.00
loop_
_atom_site_label
_atom_site_type_symbol
_atom_site_fract_x
_atom_site_fract_y
_atom_site_fract_z
Li1 Li 0.0000 0.0000 0.0000
Dy1 Dy 0.0000 0.0000 0.5000
Dy2 Dy 0.0000 0.5000 0.5000
Y1 Y 0.0000 0.5000 0.0000
S1 S 0.0000 0.0000 0.2496
S2 S 0.0065 0.5032 0.7488
# final energy	-6.510	eV per atom
# total magnetization	0.0	μB/cell
# V	20.93	A^3/atom
# formation energy from raw total energies	-1.964	eV/atom

---

# LiDy2YS4, optimized geometry, DFT PBE-GGA
data_LiDy2YS4
_space_group_name_H-M_alt 'P 1 2/m 1'
_space_group_IT_number 10
_cell_length_a 6.725
_cell_length_b 3.882
_cell_length_c 6.727
_cell_angle_alpha 90.00
_cell_angle_beta 109.38
_cell_angle_gamma 90.00
loop_
_space_group_symop_operation_xyz
'x,y,z'
'-x,-y,-z'
'-x,y,-z'
'x,-y,z'
loop_
_atom_site_label
_atom_site_type_symbol
_atom_site_fract_x
_atom_site_fract_y
_atom_site_fract_z
Li1 Li 0.000 0.000 0.000
Dy1 Dy 0.500 0.000 0.500
Dy2 Dy 0.500 0.500 0.000
Y1 Y 0.000 0.500 0.500
S1 S 0.246 0.000 0.755
S2 S 0.246 0.500 0.245
# final energy	-6.201	eV per atom
# total magnetization	0.0	μB/cell
# V	20.71	A^3/atom
# formation energy from raw total energies	-1.940	eV/atom

---

# LiDyY2S4, optimized geometry, DFT PBE-GGA
data_LiDyY2S4
_space_group_name_H-M_alt 'P 1 2/m 1'
_space_group_IT_number 10
_cell_length_a 6.728
_cell_length_b 3.885
_cell_length_c 6.731
_cell_angle_alpha 90.00
_cell_angle_beta 109.39
_cell_angle_gamma 90.00
loop_
_space_group_symop_operation_xyz
'x,y,z'
'-x,-y,-z'
'-x,y,-z'
'x,-y,z'
loop_
_atom_site_label
_atom_site_type_symbol
_atom_site_fract_x
_atom_site_fract_y
_atom_site_fract_z
Li1 Li 0.000 0.000 0.000
Dy1 Dy 0.500 0.500 0.000
Y1 Y 0.000 0.500 0.500
Y2 Y 0.500 0.000 0.500
S1 S 0.245 0.500 0.244
S2 S 0.246 0.000 0.755
# final energy	-6.436	eV per atom
# total magnetization	0.0	μB/cell
# V	20.74	A^3/atom
# formation energy from raw total energies	-1.942	eV/atom

---

# Li3DyY2S6, optimized geometry, DFT PBE-GGA
data_Li3DyY2S6
_space_group_name_H-M_alt 'C 1 2/m 1'
_space_group_IT_number 12
_cell_length_a 6.782
_cell_length_b 11.747
_cell_length_c 6.578
_cell_angle_alpha 90.00
_cell_angle_beta 110.10
_cell_angle_gamma 90.00
loop_
_space_group_symop_operation_xyz
'x,y,z'
'-x,-y,-z'
'-x,y,-z'
'x,-y,z'
'x+1/2,y+1/2,z'
'-x+1/2,-y+1/2,-z'
'-x+1/2,y+1/2,-z'
'x+1/2,-y+1/2,z'
loop_
_atom_site_label
_atom_site_type_symbol
_atom_site_fract_x
_atom_site_fract_y
_atom_site_fract_z
Li1 Li 0.000 0.000 0.000
Li2 Li 0.000 0.333 0.000
Dy1 Dy 0.000 0.500 0.500
Y1 Y 0.000 0.167 0.500
S1 S 0.249 0.500 0.249
S2 S 0.250 0.166 0.249
# final energy	-5.854	eV per atom
# total magnetization	0.0	μB/cell
# V	20.51	A^3/atom
# formation energy from raw total energies	-1.851	eV/atom

---

# LiDy3Y2S6, optimized geometry, DFT PBE-GGA
data_LiDy3Y2S6
_space_group_name_H-M_alt 'C 1 2/m 1'
_space_group_IT_number 12
_cell_length_a 6.723
_cell_length_b 11.676
_cell_length_c 6.745
_cell_angle_alpha 90.00
_cell_angle_beta 109.56
_cell_angle_gamma 90.00
loop_
_space_group_symop_operation_xyz
'x,y,z'
'-x,-y,-z'
'-x,y,-z'
'x,-y,z'
'x+1/2,y+1/2,z'
'-x+1/2,-y+1/2,-z'
'-x+1/2,y+1/2,-z'
'x+1/2,-y+1/2,z'
loop_
_atom_site_label
_atom_site_type_symbol
_atom_site_fract_x
_atom_site_fract_y
_atom_site_fract_z
Li1 Li 0.000 0.000 0.000
Dy1 Dy 0.000 0.166 0.500
Dy2 Dy 0.000 0.500 0.500
Y1 Y 0.000 0.334 0.000
S1 S 0.242 0.000 0.756
S2 S 0.245 0.163 0.247
# final energy	-6.414	eV per atom
# total magnetization	0.0	μB/cell
# V	20.79	A^3/atom
# formation energy from raw total energies	-1.963	eV/atom

---

# Li3Dy2YS6, optimized geometry, DFT PBE-GGA
data_Li3Dy2YS6
_space_group_name_H-M_alt 'C 1 2/m 1'
_space_group_IT_number 12
_cell_length_a 6.779
_cell_length_b 11.742
_cell_length_c 6.578
_cell_angle_alpha 90.00
_cell_angle_beta 110.09
_cell_angle_gamma 90.00
loop_
_space_group_symop_operation_xyz
'x,y,z'
'-x,-y,-z'
'-x,y,-z'
'x,-y,z'
'x+1/2,y+1/2,z'
'-x+1/2,-y+1/2,-z'
'-x+1/2,y+1/2,-z'
'x+1/2,-y+1/2,z'
loop_
_atom_site_label
_atom_site_type_symbol
_atom_site_fract_x
_atom_site_fract_y
_atom_site_fract_z
Li1 Li 0.000 0.000 0.000
Li2 Li 0.000 0.334 0.000
Dy1 Dy 0.000 0.167 0.500
Y1 Y 0.000 0.500 0.500
S1 S 0.250 0.000 0.751
S2 S 0.250 0.167 0.249
# final energy	-5.699	eV per atom
# total magnetization	0.0	μB/cell
# V	20.49	A^3/atom
# formation energy from raw total energies	-1.851	eV/atom

---

# LiDyZrS4, optimized geometry, DFT PBE-GGA
data_LiDyZrS4
_space_group_name_H-M_alt 'I m m a'
_space_group_IT_number 74
_space_group_name_Hall '-I 2b 2'
_cell_length_a 7.576
_cell_length_b 7.899
_cell_length_c 10.987
_cell_angle_alpha 90.00
_cell_angle_beta 90.00
_cell_angle_gamma 90.00
loop_
_atom_site_label
_atom_site_type_symbol
_atom_site_fract_x
_atom_site_fract_y
_atom_site_fract_z
Li1 Li 0.000 0.250 0.122
Dy1 Dy 0.000 0.000 0.500
Zr1 Zr 0.250 0.250 0.750
S1 S 0.000 0.023 0.750
S2 S 0.246 0.250 0.516
# final energy	-6.222	eV per atom
# total magnetization	0.0	μB/cell
# V	23.48	A^3/atom
# formation energy from raw total energies	-1.712	eV/atom

---

# Li2DyZrS4, optimized geometry, DFT PBE-GGA
data_Li2DyZrS4
_space_group_name_H-M_alt 'P 1 2/m 1'
_space_group_IT_number 10
_cell_length_a 6.546
_cell_length_b 3.745
_cell_length_c 6.569
_cell_angle_alpha 90.00
_cell_angle_beta 109.22
_cell_angle_gamma 90.00
loop_
_space_group_symop_operation_xyz
'x,y,z'
'-x,-y,-z'
'-x,y,-z'
'x,-y,z'
loop_
_atom_site_label
_atom_site_type_symbol
_atom_site_fract_x
_atom_site_fract_y
_atom_site_fract_z
Li1 Li 0.000 0.000 0.000
Li2 Li 0.500 0.500 0.000
Dy1 Dy 0.000 0.500 0.500
Zr1 Zr 0.500 0.000 0.500
S1 S 0.259 0.500 0.250
S2 S 0.263 0.000 0.754
# final energy	-5.846	eV per atom
# total magnetization	0.0	μB/cell
# V	19.01	A^3/atom
# formation energy from raw total energies	-1.660	eV/atom

---

# LiDy2ZrS4, optimized geometry, DFT PBE-GGA
data_LiDy2ZrS4
_space_group_name_H-M_alt 'P 1 2/m 1'
_space_group_IT_number 10
_cell_length_a 6.457
_cell_length_b 3.813
_cell_length_c 6.703
_cell_angle_alpha 90.00
_cell_angle_beta 109.32
_cell_angle_gamma 90.00
loop_
_space_group_symop_operation_xyz
'x,y,z'
'-x,-y,-z'
'-x,y,-z'
'x,-y,z'
loop_
_atom_site_label
_atom_site_type_symbol
_atom_site_fract_x
_atom_site_fract_y
_atom_site_fract_z
Li1 Li 0.000 0.000 0.000
Dy1 Dy 0.500 0.000 0.500
Dy2 Dy 0.500 0.500 0.000
Zr1 Zr 0.000 0.500 0.500
S1 S 0.235 0.000 0.751
S2 S 0.236 0.500 0.244
# final energy	-6.295	eV per atom
# total magnetization	0.0	μB/cell
# V	19.47	A^3/atom
# formation energy from raw total energies	-1.773	eV/atom

---

# Li2DyZr2S6, optimized geometry, DFT PBE-GGA
data_Li2DyZr2S6
_space_group_name_H-M_alt 'C 1 2/m 1'
_space_group_IT_number 12
_cell_length_a 6.458
_cell_length_b 11.265
_cell_length_c 6.584
_cell_angle_alpha 90.00
_cell_angle_beta 109.29
_cell_angle_gamma 90.00
loop_
_space_group_symop_operation_xyz
'x,y,z'
'-x,-y,-z'
'-x,y,-z'
'x,-y,z'
'x+1/2,y+1/2,z'
'-x+1/2,-y+1/2,-z'
'-x+1/2,y+1/2,-z'
'x+1/2,-y+1/2,z'
loop_
_atom_site_label
_atom_site_type_symbol
_atom_site_fract_x
_atom_site_fract_y
_atom_site_fract_z
Li1 Li 0.000 0.167 0.000
Dy1 Dy 0.000 0.000 0.500
Zr1 Zr 0.000 0.335 0.500
S1 S 0.238 0.500 0.747
S2 S 0.247 0.325 0.256
# final energy	-6.202	eV per atom
# total magnetization	0.0	μB/cell
# V	20.55	A^3/atom
# formation energy from raw total energies	-1.630	eV/atom

---

# Li3DySb2, optimized geometry, DFT PBE-GGA
data_Li3DySb2
_space_group_name_H-M_alt 'C 1 2/m 1'
_space_group_IT_number 12
_cell_length_a 17.382
_cell_length_b 4.299
_cell_length_c 10.730
_cell_angle_alpha 90.00
_cell_angle_beta 101.18
_cell_angle_gamma 90.00
loop_
_space_group_symop_operation_xyz
'x,y,z'
'-x,-y,-z'
'-x,y,-z'
'x,-y,z'
'x+1/2,y+1/2,z'
'-x+1/2,-y+1/2,-z'
'-x+1/2,y+1/2,-z'
'x+1/2,-y+1/2,z'
loop_
_atom_site_label
_atom_site_type_symbol
_atom_site_fract_x
_atom_site_fract_y
_atom_site_fract_z
Li1 Li 0.000 0.000 0.000
Li2 Li 0.048 0.500 0.840
Li3 Li 0.120 0.000 0.731
Li4 Li 0.183 0.000 0.489
Li5 Li 0.208 0.500 0.907
Dy1 Dy 0.000 0.500 0.500
Dy2 Dy 0.169 0.500 0.222
Sb1 Sb 0.047 0.000 0.310
Sb2 Sb 0.143 0.000 0.999
Sb3 Sb 0.193 0.500 0.648
# final energy	-3.811	eV per atom
# total magnetization	0.0	μB/cell
# V	21.85	A^3/atom
# formation energy from raw total energies	-0.713	eV/atom
# ΔE to the lowest computed polymorph	0.104	eV per atom

---

# LiDySb3, optimized geometry, DFT PBE-GGA
data_LiDySb3
_space_group_name_H-M_alt 'P b c m'
_space_group_IT_number 57
_cell_length_a 13.443
_cell_length_b 6.024
_cell_length_c 6.278
_cell_angle_alpha 90.00
_cell_angle_beta 90.00
_cell_angle_gamma 90.00
loop_
_space_group_symop_operation_xyz
'x,y,z'
'-x,-y,-z'
'-x,-y,z+1/2'
'x,y,-z+1/2'
'x,-y+1/2,-z'
'-x,y+1/2,z'
'-x,y+1/2,-z+1/2'
'x,-y+1/2,z+1/2'
loop_
_atom_site_label
_atom_site_type_symbol
_atom_site_fract_x
_atom_site_fract_y
_atom_site_fract_z
Li1 Li 0.108 0.250 0.000
Dy1 Dy 0.318 0.511 0.250
Sb1 Sb 0.083 0.708 0.250
Sb2 Sb 0.255 0.002 0.250
Sb3 Sb 0.496 0.250 0.000
# final energy	-4.387	eV per atom
# total magnetization	0.0	μB/cell
# V	25.42	A^3/atom
# formation energy from raw total energies	-0.610	eV/atom

---

# LiDySb2, optimized geometry, DFT PBE-GGA
data_LiDySb2
_space_group_name_H-M_alt 'P 4/m m m'
_space_group_IT_number 123
_space_group_name_Hall '-P 4 2'
_cell_length_a 4.854
_cell_length_b 4.854
_cell_length_c 4.180
_cell_angle_alpha 90.00
_cell_angle_beta 90.00
_cell_angle_gamma 90.00
loop_
_atom_site_label
_atom_site_type_symbol
_atom_site_fract_x
_atom_site_fract_y
_atom_site_fract_z
Li1 Li 0.000 0.000 0.000
Dy1 Dy 0.500 0.500 0.000
Sb1 Sb 0.000 0.500 0.500
# final energy	-4.334	eV per atom
# total magnetization	0.0	μB/cell
# V	24.62	A^3/atom
# formation energy from raw total energies	-0.644	eV/atom
# ΔE to the lowest computed polymorph	0.142	eV per atom